(1)
A plane-wave DFT calculation with PBE-GGA was carried out for a relaxed structure of SrTaSi.

The structure in POSCAR format:
```
SrTaSi
1.0
0.0000 3.5140 3.5140
3.5140 0.0000 3.5140
3.5140 3.5140 0.0000
Sr Ta Si
1 1 1
Direct
0.0000 0.0000 0.0000
0.7500 0.7500 0.7500
0.2500 0.2500 0.2500
```

Total magnetization (μB/cell): 2.84
Uncorrected formation energy (eV/f.u.): 5.378

(2)
A plane-wave DFT calculation with PBE-GGA was carried out for a relaxed structure of PrTmGaIr.

The structure in POSCAR format:
```
PrTmGaIr
1.0
0.0000 3.5583 3.5583
3.5583 0.0000 3.5583
3.5583 3.5583 0.0000
Pr Tm Ga Ir
1 1 1 1
Direct
0.0000 0.0000 0.0000
0.5000 0.5000 0.5000
0.7500 0.7500 0.7500
0.2500 0.2500 0.2500
```

Offset from the most stable computed form (meV/atom): 104
Total magnetization (μB/cell): 0.00

(3)
A plane-wave DFT calculation with PBE-GGA was carried out for a relaxed structure of ZrMnSi2.

The structure in POSCAR format:
```
ZrMnSi2
1.0
3.1034 0.0000 0.0000
0.0000 3.1034 0.0000
0.0000 0.0000 6.0413
Zr Mn Si
1 1 2
Direct
0.0000 0.0000 0.0000
0.5000 0.5000 0.3090
0.0000 0.0000 0.4734
0.5000 0.5000 0.7051
```

Total magnetization (μB/cell): 0.00
Uncorrected formation energy (eV/f.u.): -1.431

(4)
A plane-wave DFT calculation with PBE-GGA was carried out for a relaxed structure of YTeP.

The structure in POSCAR format:
```
YTeP
1.0
0.0000 3.3961 3.3961
3.3961 0.0000 3.3961
3.3961 3.3961 0.0000
Y Te P
1 1 1
Direct
0.0000 0.0000 0.0000
0.5000 0.5000 0.5000
0.2500 0.2500 0.2500
```

Total magnetization (μB/cell): 0.00
Uncorrected formation energy (eV/f.u.): -1.401

(5)
A plane-wave DFT calculation with PBE-GGA was carried out for a relaxed structure of Rb4Pm3SnSe8.

The structure in POSCAR format:
```
Rb4Pm3SnSe8
1.0
8.6612 0.0000 0.0000
4.3288 7.5180 0.0000
4.3280 2.5059 8.0174
Rb Pm Sn Se
4 3 1 8
Direct
0.0000 0.0000 0.0000
0.0000 0.5000 0.0000
0.5000 0.0000 0.0000
0.5000 0.5000 0.0000
0.0000 0.0000 0.5000
0.0000 0.5000 0.5000
0.5000 0.0000 0.5000
0.5000 0.5000 0.5000
0.2328 0.2337 0.2995
0.2356 0.7307 0.3027
0.2710 0.2700 0.6965
0.2707 0.7631 0.6968
0.7293 0.2369 0.3032
0.7290 0.7300 0.3035
0.7644 0.2693 0.6973
0.7672 0.7663 0.7005
```

Total magnetization (μB/cell): 0.00
Uncorrected formation energy (eV/f.u.): -23.666

(6)
A plane-wave DFT calculation with PBE-GGA was carried out for a relaxed structure of Cd2AgHPd.

The structure in POSCAR format:
```
Cd2AgHPd
1.0
4.7986 0.0000 0.0000
0.0000 4.7986 0.0000
0.0000 0.0000 3.4210
Cd Ag H Pd
2 1 1 1
Direct
0.0000 0.5000 0.0000
0.5000 0.0000 0.0000
0.0000 0.0000 0.5000
0.5000 0.5000 0.0000
0.5000 0.5000 0.5000
```

Total magnetization (μB/cell): 0.00
Electronic total energy (eV for the cell shown): -13.6

(7)
A plane-wave DFT calculation with PBE-GGA was carried out for a relaxed structure of CaBeRh2.

The structure in POSCAR format:
```
CaBeRh2
1.0
-1.5041 2.4665 4.1548
1.5041 -2.4665 4.1548
1.5041 2.4665 -4.1548
Ca Be Rh
1 1 2
Direct
0.0000 0.0000 0.0000
0.5000 0.5000 0.0000
0.2964 0.7964 0.5000
0.7036 0.2036 0.5000
```

Total magnetization (μB/cell): 0.00
Electronic total energy (eV for the cell shown): -21.2

(8)
A plane-wave DFT calculation with PBE-GGA was carried out for a relaxed structure of PuNpSb2.

The structure in POSCAR format:
```
PuNpSb2
1.0
0.0000 3.7422 3.7422
3.7422 0.0000 3.7422
3.7422 3.7422 0.0000
Pu Np Sb
1 1 2
Direct
0.0000 0.0000 0.0000
0.5000 0.5000 0.5000
0.2500 0.2500 0.2500
0.7500 0.7500 0.7500
```

Offset from the most stable computed form (meV/atom): 75
Total magnetization (μB/cell): 9.48
Uncorrected formation energy (eV/f.u.): -1.429

(9)
A plane-wave DFT calculation with PBE-GGA was carried out for a relaxed structure of NaSc2N.

The structure in POSCAR format:
```
NaSc2N
1.0
1.8462 1.0659 9.6148
-1.8462 1.0659 9.6148
0.0000 -2.1318 9.6148
Na Sc N
1 2 1
Direct
0.0000 0.0000 0.0000
0.4365 0.4365 0.4365
0.5635 0.5635 0.5635
0.5000 0.5000 0.5000
```

Total magnetization (μB/cell): 0.00
Uncorrected formation energy (eV/f.u.): 0.421

(10)
A plane-wave DFT calculation with PBE-GGA was carried out for a relaxed structure of Tl3Zn.

The structure in POSCAR format:
```
Tl3Zn
1.0
3.5438 0.0000 0.0000
0.0000 4.7595 0.0000
-1.7536 0.0000 6.5956
Tl Zn
3 1
Direct
0.0000 0.0000 0.0000
0.3960 0.5000 0.7294
0.6040 0.5000 0.2706
0.0000 0.0000 0.5000
```

Total magnetization (μB/cell): 0.00
Electronic total energy (eV for the cell shown): -7.9

(11)
A plane-wave DFT calculation with PBE-GGA was carried out for a relaxed structure of EuGdCoAg.

The structure in POSCAR format:
```
EuGdCoAg
1.0
0.0000 3.5710 3.5710
3.5710 0.0000 3.5710
3.5710 3.5710 0.0000
Eu Gd Co Ag
1 1 1 1
Direct
0.0000 0.0000 0.0000
0.5000 0.5000 0.5000
0.7500 0.7500 0.7500
0.2500 0.2500 0.2500
```

Total magnetization (μB/cell): 0.43
Electronic total energy (eV for the cell shown): -34.3

(12)
A plane-wave DFT calculation with PBE-GGA was carried out for a relaxed structure of CeLuAl.

The structure in POSCAR format:
```
CeLuAl
1.0
-1.6615 1.6615 6.8926
1.6615 -1.6615 6.8926
1.6615 1.6615 -6.8926
Ce Lu Al
1 1 1
Direct
0.0000 0.0000 0.0000
0.2985 0.2985 0.0000
0.6547 0.6547 0.0000
```

Offset from the most stable computed form (meV/atom): 0
Total magnetization (μB/cell): 0.70

no.,density of states at the Fermi level (states/eV/atom)
1,1.54
2,0.84
3,0.46
4,0.46
5,0.11
6,0.30
7,0.78
8,3.72
9,0.54
10,0.48
11,1.76
12,1.67